Record 1
DFT (PBE-GGA) results for a geometry-optimized AcCeCuSn structure.

Lattice parameters (Å, degrees): 5.479 5.479 5.479 60.00 60.00 60.00
Each line ends with the local moment (μB).
Atoms (fractional coordinates):
Ac  0.500  0.500  0.500  0.13
Sn  0.250  0.250  0.250  -0.03
Ce  0.000  0.000  0.000  1.09
Cu  0.750  0.750  0.750  0.02

Values from the calculation:
**Total magnetic moment**: 1.8 μB/cell
**Formation energy from the elements**: -265 meV/atom
**Volume**: 116 Å³ per cell


Record 2
DFT (PBE-GGA) results for a geometry-optimized Rb2HoTaO6 structure.

Lattice parameters (Å, degrees): 6.073 6.073 6.073 60.00 60.00 60.00
Each line ends with the local moment (μB).
Atoms (fractional coordinates):
O  0.766  0.766  0.234  0.30
Rb  0.250  0.250  0.250  0.00
O  0.234  0.234  0.766  0.30
Rb  0.750  0.750  0.750  0.00
O  0.766  0.234  0.766  0.30
O  0.234  0.766  0.234  0.30
Ho  0.500  0.500  0.500  -0.05
O  0.766  0.234  0.234  0.30
O  0.234  0.766  0.766  0.30
Ta  0.000  0.000  0.000  -0.10

Values from the calculation:
**Total magnetic moment**: 2.0 μB/cell
**E_form (uncorrected)**: -2.31 eV/atom
**Volume**: 158 Å³ per cell


Record 3
DFT (PBE-GGA) results for a geometry-optimized Rb2CeGeSe4 structure.

Lattice parameters (Å, degrees): 8.883 8.883 8.875 119.97 119.97 89.47
Atoms (fractional coordinates):
Rb  0.500  0.000  0.000
Se  0.771  0.307  0.539
Se  0.227  0.273  0.464
Se  0.227  0.273  0.036
Rb  0.500  0.500  0.000
Se  0.773  0.727  0.964
Ce  0.000  0.500  0.500
Se  0.773  0.727  0.536
Se  0.193  0.729  0.961
Rb  0.500  0.000  0.500
Rb  0.000  0.000  0.500
Se  0.229  0.693  0.461
Se  0.807  0.271  0.039
Ge  0.000  0.000  0.000
Ce  0.000  0.500  0.000
Ge  0.500  0.500  0.500

Values from the calculation:
**Total magnetic moment**: 0.0 μB/cell
**E_form (uncorrected)**: -1.13 eV/atom
**Volume**: 498 Å³ per cell


Record 4
DFT (PBE-GGA) results for a geometry-optimized ZrTcHRh2 structure.

Lattice parameters (Å, degrees): 4.003 4.003 4.069 90.00 90.00 90.00
Atoms (fractional coordinates):
Zr  0.500  0.500  0.500
Rh  0.000  0.500  0.000
Rh  0.500  0.000  0.000
Tc  0.000  0.000  0.500
H  0.000  0.000  0.000

Values from the calculation:
**Total magnetic moment**: 0.0 μB/cell
**Energy above the lowest structure with this stoichiometry**: 0.000 eV/atom
**Volume**: 65 Å³ per cell


Record 5
DFT (PBE-GGA) results for a geometry-optimized CaPCl2 structure.

Lattice parameters (Å, degrees): 5.775 4.825 4.869 60.28 90.00 90.00
Each line ends with the local moment (μB).
Atoms (fractional coordinates):
Cl  0.000  0.840  0.196  0.06
P  0.000  0.089  0.696  0.28
Cl  0.500  0.450  0.975  0.01
Ca  0.500  0.121  0.633  0.00

Values from the calculation:
**Total magnetic moment**: 0.8 μB/cell
**E_form (uncorrected)**: -0.99 eV/atom
**Energy above the lowest structure with this stoichiometry**: 0.067 eV/atom
**Volume**: 118 Å³ per cell


Record 6
DFT (PBE-GGA) results for a geometry-optimized K2Zr3CdO8 structure.

Lattice parameters (Å, degrees): 6.616 6.616 7.572 64.10 64.10 60.00
Atoms (fractional coordinates):
O  0.307  0.748  0.197
K  0.135  0.135  0.595
Zr  0.494  0.494  0.018
O  0.748  0.307  0.197
K  0.493  0.493  0.522
O  0.271  0.271  0.186
O  0.224  0.224  0.863
O  0.713  0.713  0.860
Cd  0.957  0.957  0.128
O  0.748  0.748  0.197
O  0.224  0.689  0.863
Zr  0.494  0.994  0.018
Zr  0.994  0.494  0.018
O  0.689  0.224  0.863

Values from the calculation:
**Total magnetic moment**: 0.0 μB/cell
**E_form (uncorrected)**: -2.60 eV/atom
**Volume**: 248 Å³ per cell


Record 7
DFT (PBE-GGA) results for a geometry-optimized HfGaAu structure.

Lattice parameters (Å, degrees): 4.957 4.186 6.088 90.01 103.94 65.12
Atoms (fractional coordinates):
Hf  0.536  0.392  0.488
Ga  0.217  0.051  0.172
Ga  0.217  0.051  0.672
Au  0.886  0.716  0.350
Au  0.548  0.385  0.994
Hf  0.898  0.710  0.856

Values from the calculation:
**Total magnetic moment**: 0.0 μB/cell
**Formation energy from the elements**: -421 meV/atom
**Volume**: 110 Å³ per cell


Record 8
DFT (PBE-GGA) results for a geometry-optimized Tl4Hg3Pb2 structure.

Lattice parameters (Å, degrees): 3.496 3.496 25.304 90.00 90.00 120.00
Atoms (fractional coordinates):
Tl  0.667  0.333  0.220
Hg  0.000  0.000  0.325
Pb  0.667  0.333  0.876
Tl  0.000  0.000  0.760
Hg  0.000  0.000  0.982
Tl  0.667  0.333  0.429
Hg  0.667  0.333  0.652
Tl  0.000  0.000  0.545
Pb  0.667  0.333  0.089

Values from the calculation:
**Total magnetic moment**: 0.0 μB/cell
**Formation energy from the elements**: 15 meV/atom
**Volume**: 268 Å³ per cell


Record 9
DFT (PBE-GGA) results for a geometry-optimized Tb4Sn2H structure.

Lattice parameters (Å, degrees): 4.569 4.569 9.025 75.34 75.34 90.00
Atoms (fractional coordinates):
Sn  0.363  0.363  0.275
H  0.000  0.000  0.000
Sn  0.637  0.637  0.725
Tb  0.500  0.000  0.000
Tb  0.823  0.823  0.354
Tb  0.177  0.177  0.646
Tb  0.000  0.500  0.000

Values from the calculation:
**Total magnetic moment**: 0.0 μB/cell
**Energy above the lowest structure with this stoichiometry**: 0.006 eV/atom
**Volume**: 176 Å³ per cell


Record 10
DFT (PBE-GGA) results for a geometry-optimized Mg2ZnCdIn structure.

Lattice parameters (Å, degrees): 4.405 6.806 7.121 90.93 90.00 90.00
Atoms (fractional coordinates):
Zn  0.250  0.553  0.672
Cd  0.750  0.281  0.725
Mg  0.250  0.348  0.037
Mg  0.750  0.652  0.963
In  0.750  0.054  0.165
In  0.250  0.946  0.835
Mg  0.250  0.174  0.451
Cd  0.250  0.719  0.275
Mg  0.750  0.826  0.549
Zn  0.750  0.447  0.328

Values from the calculation:
**Total magnetic moment**: 0.0 μB/cell
**Formation energy from the elements**: -41 meV/atom
**Volume**: 213 Å³ per cell


Record 11
DFT (PBE-GGA) results for a geometry-optimized AlCd2Tc structure.

Lattice parameters (Å, degrees): 3.278 3.267 6.823 90.00 90.00 90.00
Each line ends with the local moment (μB).
Atoms (fractional coordinates):
Cd  0.500  0.500  0.276  0.00
Cd  0.000  0.000  0.983  0.00
Tc  0.000  0.000  0.546  0.48
Al  0.500  0.500  0.695  -0.01

Values from the calculation:
**Total magnetic moment**: 0.5 μB/cell
**Formation energy from the elements**: 98 meV/atom
**Volume**: 73 Å³ per cell


Record 12
DFT (PBE-GGA) results for a geometry-optimized LaPm3Y4 structure.

Lattice parameters (Å, degrees): 6.361 7.373 11.614 90.00 90.00 90.00
Atoms (fractional coordinates):
Y  0.647  0.123  0.500
Y  0.482  0.877  0.249
Pm  0.150  0.373  0.500
Y  0.982  0.123  0.251
Pm  0.980  0.627  0.251
Y  0.646  0.122  0.000
Pm  0.980  0.627  0.749
Y  0.982  0.123  0.749
Pm  0.650  0.627  0.000
La  0.149  0.377  0.000
Y  0.146  0.878  0.500
Pm  0.480  0.373  0.751
Y  0.147  0.877  0.000
Y  0.482  0.877  0.751
La  0.649  0.623  0.500
Pm  0.480  0.373  0.249

Values from the calculation:
**Total magnetic moment**: 0.0 μB/cell
**Energy above the lowest structure with this stoichiometry**: 0.010 eV/atom
**Formation energy from the elements**: 23 meV/atom
**Volume**: 545 Å³ per cell


Record 13
DFT (PBE-GGA) results for a geometry-optimized YCo2PRh structure.

Lattice parameters (Å, degrees): 4.563 5.017 4.563 90.00 90.00 90.00
Each line ends with the local moment (μB).
Atoms (fractional coordinates):
Co  0.000  0.000  0.500  1.34
Rh  0.500  0.500  0.500  0.66
Co  0.500  0.000  0.000  1.43
Y  0.000  0.000  0.000  -0.14
P  0.000  0.500  0.000  0.12

Values from the calculation:
**Total magnetic moment**: 3.5 μB/cell
**Formation energy from the elements**: 1678 meV/atom
**Volume**: 104 Å³ per cell


Record 14
DFT (PBE-GGA) results for a geometry-optimized PmLuRe4 structure.

Lattice parameters (Å, degrees): 5.430 5.430 5.430 60.00 60.00 60.00
Atoms (fractional coordinates):
Re  0.625  0.625  0.625
Re  0.625  0.625  0.125
Lu  0.000  0.000  0.000
Re  0.625  0.125  0.625
Pm  0.250  0.250  0.250
Re  0.125  0.625  0.625

Values from the calculation:
**Total magnetic moment**: 0.0 μB/cell
**Formation energy from the elements**: -120 meV/atom
**Volume**: 113 Å³ per cell


Record 15
DFT (PBE-GGA) results for a geometry-optimized DyTaMo4 structure.

Lattice parameters (Å, degrees): 5.386 5.386 5.386 60.00 60.00 60.00
Atoms (fractional coordinates):
Ta  0.000  0.000  0.000
Mo  0.124  0.625  0.625
Mo  0.625  0.124  0.625
Mo  0.625  0.625  0.625
Mo  0.625  0.625  0.124
Dy  0.250  0.250  0.250

Values from the calculation:
**Total magnetic moment**: 0.0 μB/cell
**Formation energy from the elements**: 74 meV/atom
**Volume**: 111 Å³ per cell


Record 16
DFT (PBE-GGA) results for a geometry-optimized LaPr4Y2Ho2 structure.

Lattice parameters (Å, degrees): 5.152 8.146 8.136 107.10 90.00 108.43
Atoms (fractional coordinates):
Pr  0.445  0.890  0.668
Ho  0.331  0.662  0.001
La  0.000  0.000  0.000
Ho  0.669  0.338  0.999
Y  0.112  0.224  0.667
Pr  0.223  0.445  0.330
Pr  0.555  0.110  0.332
Pr  0.777  0.555  0.670
Y  0.888  0.776  0.333

Values from the calculation:
**Total magnetic moment**: 0.0 μB/cell
**Formation energy from the elements**: 19 meV/atom
**Volume**: 308 Å³ per cell


Record 17
DFT (PBE-GGA) results for a geometry-optimized Li2PuZn2O6 structure.

Lattice parameters (Å, degrees): 5.421 5.421 5.293 98.24 98.24 120.54
Each line ends with the local moment (μB).
Atoms (fractional coordinates):
O  0.254  0.254  0.292  -0.10
O  0.390  0.050  0.734  -0.06
Zn  0.331  0.669  0.500  -0.01
Zn  0.669  0.331  0.500  -0.01
Li  0.787  0.213  0.000  0.00
O  0.610  0.950  0.266  -0.06
O  0.950  0.610  0.266  -0.06
O  0.746  0.746  0.708  -0.10
Pu  0.000  0.000  0.500  2.49
O  0.050  0.390  0.734  -0.06
Li  0.213  0.787  0.000  0.00

Values from the calculation:
**Total magnetic moment**: 2.0 μB/cell
**E_form (uncorrected)**: -1.91 eV/atom
**Volume**: 128 Å³ per cell


Record 18
DFT (PBE-GGA) results for a geometry-optimized La4Se5O structure.

Lattice parameters (Å, degrees): 4.037 7.842 10.293 112.41 101.31 90.00
Atoms (fractional coordinates):
Se  0.840  0.085  0.679
La  0.000  0.781  0.000
Se  0.500  0.500  0.000
Se  0.840  0.594  0.679
Se  0.160  0.406  0.321
La  0.282  0.782  0.563
O  0.500  0.000  0.000
La  0.000  0.219  0.000
La  0.718  0.218  0.437
Se  0.160  0.915  0.321

Values from the calculation:
**Total magnetic moment**: 0.0 μB/cell
**E_form (uncorrected)**: -2.07 eV/atom
**Volume**: 294 Å³ per cell


Record 19
DFT (PBE-GGA) results for a geometry-optimized ThSi2Ni2Rh structure.

Lattice parameters (Å, degrees): 4.534 4.534 5.278 90.00 90.00 90.00
Atoms (fractional coordinates):
Rh  0.000  0.000  0.000
Si  0.000  0.500  0.000
Th  0.000  0.000  0.500
Si  0.500  0.000  0.000
Ni  0.500  0.500  0.754
Ni  0.500  0.500  0.246

Values from the calculation:
**Total magnetic moment**: 0.0 μB/cell
**E_form (uncorrected)**: -0.19 eV/atom
**Volume**: 108 Å³ per cell


Record 20
DFT (PBE-GGA) results for a geometry-optimized SmDyTe3 structure.

Lattice parameters (Å, degrees): 4.281 7.434 10.813 90.00 90.00 106.73
Atoms (fractional coordinates):
Dy  0.000  0.000  0.000
Sm  0.248  0.496  0.250
Te  0.907  0.814  0.250
Te  0.353  0.705  0.935
Te  0.353  0.705  0.565
Sm  0.752  0.504  0.750
Te  0.647  0.295  0.435
Dy  0.000  0.000  0.500
Te  0.647  0.295  0.065
Te  0.093  0.186  0.750

Values from the calculation:
**Total magnetic moment**: 0.0 μB/cell
**E_form (uncorrected)**: -1.39 eV/atom
**Energy above the lowest structure with this stoichiometry**: 0.000 eV/atom
**Volume**: 330 Å³ per cell


no.,calculated density (g cm⁻³)
1,7.84
2,6.43
3,4.67
4,10.09
5,2.00
6,3.97
7,13.38
8,11.37
9,8.25
10,5.31
11,7.95
12,5.67
13,5.42
14,15.61
15,10.93
16,6.53
17,6.28
18,5.45
19,7.78
20,7.01